Below is Ba2Ga4AgGe3 after structural relaxation, with properties calculated at the PBE level.

As for the calculated density: 6.1 g cm⁻³. For the density of states at the Fermi level, the calculation gives 4.89 states/eV per cell. For the magnetization, the calculation gives 0.0 Bohr magnetons per cell. Its formation enthalpy at 0 K is -358.2 meV/atom. The uncorrected energy is -3.624 eV/atom.

The space group is P-4m2 (No. 115) and the conventional cell measures 4.745, 4.745 and 10.555 Å, with angles of 90.00, 90.00 and 90.00 degrees. The asymmetric unit holds Ba at (0.000, 0.500, 0.249), Ga at (0.000, 0.000, 0.000), Ga at (0.000, 0.500, 0.625), Ga at (0.500, 0.500, 0.000), Ag at (0.000, 0.000, 0.500), Ge at (0.000, 0.500, 0.876) and Ge at (0.500, 0.500, 0.500).